[1]
{"formula": "SnPOF2", "functional": "PBE", "state": "optimized geometry", "cell": [[-2.946, -1.869, -3.040], [-0.287, -3.805, 2.618], [-2.728, 1.423, 1.769]], "species": ["F", "Sn", "O", "P", "F"], "fractional_positions": [[0.500, 0.000, 0.000], [0.500, 0.500, 0.500], [0.000, 0.000, 0.500], [0.000, 0.000, 0.000], [0.000, 0.500, 0.000]], "e_above_lowest_polymorph_mev_per_atom": 0, "e_form_raw_ev_per_atom": -1.010, "rho_g_cm3": 4.45, "n_ef_per_ev_fu": 2.3}

***

[2]
{"formula": "SnPO4F", "functional": "PBE", "state": "optimized geometry", "cell": [[6.454, 0.000, 0.000], [0.000, 7.465, 0.000], [0.000, 0.000, 7.858]], "species": ["O", "O", "O", "O", "Sn", "O", "Sn", "O", "O", "O", "F", "O", "F", "Sn", "O", "P", "O", "O", "O", "F", "O", "F", "P", "P", "O", "O", "Sn", "P"], "fractional_positions": [[0.250, 0.502, 0.212], [0.562, 0.752, 0.134], [0.750, 0.002, 0.288], [0.250, 0.487, 0.539], [0.250, 0.742, 0.630], [0.750, 0.987, 0.961], [0.250, 0.758, 0.130], [0.562, 0.748, 0.634], [0.250, 0.013, 0.039], [0.250, 0.998, 0.712], [0.750, 0.347, 0.117], [0.438, 0.248, 0.866], [0.250, 0.847, 0.383], [0.750, 0.258, 0.370], [0.438, 0.252, 0.366], [0.750, 0.620, 0.630], [0.938, 0.748, 0.634], [0.750, 0.513, 0.461], [0.062, 0.248, 0.866], [0.250, 0.653, 0.883], [0.062, 0.252, 0.366], [0.750, 0.153, 0.617], [0.250, 0.120, 0.870], [0.250, 0.380, 0.370], [0.750, 0.498, 0.788], [0.938, 0.752, 0.134], [0.750, 0.242, 0.870], [0.750, 0.880, 0.130]], "e_form_raw_ev_per_atom": -2.074, "rho_g_cm3": 4.08, "n_ef_per_ev_fu": 0.0}